# NbCd2Ir PBE optimized geometry
data_NbCd2Ir
_chemical_formula_sum 'Nb4 Cd8 Ir4'
_space_group_name_H-M_alt 'I -4 2 d'
_space_group_IT_number 122
_space_group_name_Hall 'I -4 2bw'
_cell_length_a 7.782
_cell_length_b 7.782
_cell_length_c 5.326
_cell_angle_alpha 90.00
_cell_angle_beta 90.00
_cell_angle_gamma 90.00
loop_
_atom_site_label
_atom_site_fract_x
_atom_site_fract_y
_atom_site_fract_z
_atom_site_occupancy
Nb1 0.000 0.000 0.000 1
Cd1 0.227 0.250 0.625 1
Ir1 0.000 0.000 0.500 1
# offset from the most stable computed form	1.091	eV per formula unit
# V	322.6	Å³/cell
# theoretical density	10.50	g/cm³